Below is crystalline SrAcBiBr at its relaxed geometry, with properties calculated at the PBE level.

Cell lengths 5.7636, 5.7636, 5.7636 Å; angles 60.00, 60.00, 60.00 degrees
Closest atoms and distances in Å follow each position.
Element x y z (fractional)
1 Br 0.7500 0.7500 0.7500  4 Sr 3.53, 4 Ac 3.53
2 Sr 0.5000 0.5000 0.5000  4 Bi 3.53, 4 Br 3.53
3 Bi 0.2500 0.2500 0.2500  4 Ac 3.53, 4 Sr 3.53
4 Ac 0.0000 0.0000 0.0000  4 Br 3.53, 4 Bi 3.53

Results
Final energy = -3.93 eV/atom
Polymorph energy (0 for the lowest one) = 0.069 eV/atom
Volume = 135 Å³/cell
M_tot = 0.000 μB per atom

---

Below is crystalline Sc2SiAu at its relaxed geometry, with properties calculated at the PBE level.

Cell lengths 3.2642, 4.8218, 4.8218 Å; angles 90.00, 90.00, 90.00 degrees
Closest atoms and distances in Å follow each position.
Element x y z (fractional)
1 Sc 0.0000 0.5000 0.0000  4 Au 2.91, 4 Si 2.91
2 Sc 0.0000 0.0000 0.5000  4 Au 2.91, 4 Si 2.91
3 Si 0.5000 0.0000 0.0000  8 Sc 2.91
4 Au 0.5000 0.5000 0.5000  8 Sc 2.91

Results
Final energy = -6.00 eV/atom
Volume = 76 Å³/cell
M_tot = 0.000 μB per atom